No. 1
# TlAu2 (PBEsol, optimized geometry)
# E above lowest polymorph ... 0.047 eV/f.u.
# ΔH_f (0 K) ... 9 kJ/mol of formula units
data_TlAu2
_cell_length_a 5.5468
_cell_length_b 5.5468
_cell_length_c 9.2836
_cell_angle_alpha 90.00
_cell_angle_beta 90.00
_cell_angle_gamma 120.00
_symmetry_space_group_name_H-M 'P 63/m m c'
_symmetry_Int_Tables_number 194
_symmetry_space_group_name_Hall '-P 6c 2c'
loop_
_atom_site_label
_atom_site_type_symbol
_atom_site_fract_x
_atom_site_fract_y
_atom_site_fract_z
Tl1 Tl 0.3333 0.6667 0.0628
Au1 Au 0.0000 0.0000 0.0000
Au2 Au 0.1688 0.3375 0.7500

No. 2
# NaZnP (PBEsol, optimized geometry)
# ΔH_f (0 K) ... -116 kJ/mol of formula units
data_NaZnP
_cell_length_a 3.9946
_cell_length_b 3.9946
_cell_length_c 8.5248
_cell_angle_alpha 90.00
_cell_angle_beta 90.00
_cell_angle_gamma 120.00
_symmetry_space_group_name_H-M 'P 63/m m c'
_symmetry_Int_Tables_number 194
_symmetry_space_group_name_Hall '-P 6c 2c'
loop_
_atom_site_label
_atom_site_type_symbol
_atom_site_fract_x
_atom_site_fract_y
_atom_site_fract_z
Na1 Na 0.0000 0.0000 0.0000
Zn1 Zn 0.3333 0.6667 0.2500
P1 P 0.3333 0.6667 0.7500

No. 3
# InCuW2 (PBEsol, optimized geometry)
# ΔH_f (0 K) ... 202 kJ/mol of formula units
data_InCuW2
_cell_length_a 5.318
_cell_length_b 9.031
_cell_length_c 2.726
_cell_angle_alpha 90.00
_cell_angle_beta 104.68
_cell_angle_gamma 90.00
_symmetry_space_group_name_H-M 'C 1 2/m 1'
_symmetry_Int_Tables_number 12
loop_
_symmetry_equiv_pos_as_xyz
'x,y,z'
'-x,-y,-z'
'-x,y,-z'
'x,-y,z'
'x+1/2,y+1/2,z'
'-x+1/2,-y+1/2,-z'
'-x+1/2,y+1/2,-z'
'x+1/2,-y+1/2,z'
loop_
_atom_site_label
_atom_site_type_symbol
_atom_site_fract_x
_atom_site_fract_y
_atom_site_fract_z
In1 In 0.000 0.000 0.000
Cu1 Cu 0.000 0.500 0.000
W1 W 0.250 0.250 0.500